## Dy2HoHg6 (PBE)

Data for a relaxed structure of Dy2HoHg6.

CIF file:
```
data_Dy2HoHg6
_chemical_formula_sum 'Dy8 Ho4 Hg24'
_cell_length_a 14.360
_cell_length_b 11.681
_cell_length_c 5.424
_cell_angle_alpha 90.00
_cell_angle_beta 100.00
_cell_angle_gamma 90.00
_symmetry_space_group_name_H-M 'C 1 2/c 1'
_symmetry_Int_Tables_number 15
loop_
_symmetry_equiv_pos_as_xyz
'x,y,z'
'-x,-y,-z'
'-x,y,-z+1/2'
'x,-y,z+1/2'
'x+1/2,y+1/2,z'
'-x+1/2,-y+1/2,-z'
'-x+1/2,y+1/2,-z+1/2'
'x+1/2,-y+1/2,z+1/2'
loop_
_atom_site_label
_atom_site_fract_x
_atom_site_fract_y
_atom_site_fract_z
Dy1 0.167 0.125 0.083
Ho1 0.000 0.375 0.250
Hg1 0.055 0.126 0.529
Hg2 0.111 0.375 0.804
Hg3 0.222 0.375 0.362
```

Output
As for the density of states at the Fermi level: 3.93 states/eV/f.u. The magnetic moment comes out at 0.000 μB per cell.

***

## Tm4Cd3Pb (PBE)

Data for a relaxed structure of Tm4Cd3Pb.

CIF file:
```
data_Tm4Cd3Pb
_chemical_formula_sum 'Tm8 Cd6 Pb2'
_cell_length_a 10.546
_cell_length_b 7.377
_cell_length_c 5.273
_cell_angle_alpha 90.00
_cell_angle_beta 90.00
_cell_angle_gamma 90.00
_symmetry_space_group_name_H-M 'P m m a'
_symmetry_Int_Tables_number 51
loop_
_symmetry_equiv_pos_as_xyz
'x,y,z'
'-x,-y,-z'
'-x+1/2,-y,z'
'x+1/2,y,-z'
'x+1/2,-y,-z'
'-x+1/2,y,z'
'-x,y,-z'
'x,-y,z'
loop_
_atom_site_label
_atom_site_fract_x
_atom_site_fract_y
_atom_site_fract_z
Tm1 0.000 0.245 0.000
Tm2 0.250 0.245 0.499
Cd1 0.000 0.000 0.500
Cd2 0.250 0.000 0.999
Cd3 0.250 0.500 0.999
Pb1 0.000 0.500 0.500
```

Output
As for the density of states at the Fermi level: 6.97 states/eV/f.u. The magnetic moment comes out at 0.002 μB per cell.

***

## NaScGaI2 (PBE)

Data for a relaxed structure of NaScGaI2.

CIF file:
```
data_NaScGaI2
_chemical_formula_sum 'Na1 Sc1 Ga1 I2'
_cell_length_a 5.800
_cell_length_b 5.800
_cell_length_c 5.432
_cell_angle_alpha 90.00
_cell_angle_beta 90.00
_cell_angle_gamma 90.00
_symmetry_space_group_name_H-M 'P 4/m m m'
_symmetry_Int_Tables_number 123
_symmetry_space_group_name_Hall '-P 4 2'
loop_
_atom_site_label
_atom_site_fract_x
_atom_site_fract_y
_atom_site_fract_z
Na1 0.000 0.000 0.000
Sc1 0.500 0.500 0.500
Ga1 0.500 0.500 0.000
I1 0.000 0.500 0.500
```

Output
The uncorrected formation energy comes out at -0.400 eV/atom. As for the density of states at the Fermi level: 4.02 states/eV/f.u. The magnetic moment comes out at 0.000 μB per cell.

***

## PmCdTeO6 (PBE)

Data for a relaxed structure of PmCdTeO6.

CIF file:
```
data_PmCdTeO6
_chemical_formula_sum 'Pm2 Cd2 Te2 O12'
_cell_length_a 5.110
_cell_length_b 5.110
_cell_length_c 10.201
_cell_angle_alpha 90.00
_cell_angle_beta 90.00
_cell_angle_gamma 90.00
_symmetry_space_group_name_H-M 'P 42 n m'
_symmetry_Int_Tables_number 102
loop_
_symmetry_equiv_pos_as_xyz
'x,y,z'
'-y+1/2,x+1/2,z+1/2'
'-x,-y,z'
'y+1/2,-x+1/2,z+1/2'
'-x+1/2,y+1/2,z+1/2'
'y,x,z'
'x+1/2,-y+1/2,z+1/2'
'-y,-x,z'
loop_
_atom_site_label
_atom_site_fract_x
_atom_site_fract_y
_atom_site_fract_z
Pm1 0.000 0.000 0.000
Cd1 0.000 0.000 0.669
Te1 0.000 0.000 0.336
O1 0.181 0.181 0.477
O2 0.182 0.182 0.194
O3 0.230 0.230 0.837
```

Output
The uncorrected formation energy comes out at -1.577 eV/atom. As for the density of states at the Fermi level: 4.78 states/eV/f.u. The magnetic moment comes out at 2.128 μB per cell.

***

## ZrFe2Re (PBE)

Data for a relaxed structure of ZrFe2Re.

CIF file:
```
data_ZrFe2Re
_chemical_formula_sum 'Zr1 Fe2 Re1'
_cell_length_a 4.341
_cell_length_b 4.341
_cell_length_c 3.099
_cell_angle_alpha 90.00
_cell_angle_beta 90.00
_cell_angle_gamma 90.00
_symmetry_space_group_name_H-M 'P 4/m m m'
_symmetry_Int_Tables_number 123
_symmetry_space_group_name_Hall '-P 4 2'
loop_
_atom_site_label
_atom_site_fract_x
_atom_site_fract_y
_atom_site_fract_z
Zr1 0.000 0.000 0.000
Fe1 0.000 0.500 0.500
Re1 0.500 0.500 0.000
```

Output
As for the density of states at the Fermi level: 4.91 states/eV/f.u. The magnetic moment comes out at 3.545 μB per cell.

***

## VCuPd6 (PBE)

Data for a relaxed structure of VCuPd6.

CIF file:
```
data_VCuPd6
_chemical_formula_sum 'V1 Cu1 Pd6'
_cell_length_a 4.963
_cell_length_b 4.978
_cell_length_c 4.987
_cell_angle_alpha 93.10
_cell_angle_beta 92.79
_cell_angle_gamma 92.65
_symmetry_space_group_name_H-M 'P -1'
_symmetry_Int_Tables_number 2
loop_
_symmetry_equiv_pos_as_xyz
'x,y,z'
'-x,-y,-z'
loop_
_atom_site_label
_atom_site_fract_x
_atom_site_fract_y
_atom_site_fract_z
V1 0.000 0.000 0.000
Cu1 0.500 0.500 0.500
Pd1 0.036 0.454 0.749
Pd2 0.251 0.960 0.549
Pd3 0.454 0.750 0.038
```

Output
As for the density of states at the Fermi level: 7.90 states/eV/f.u. The energy above the lowest structure with this stoichiometry is 15.4 kJ/mol of atoms. The magnetic moment comes out at 0.376 μB per cell.

***

Number 1: energy -76.58 eV/cell, volume 24.9 Å³/atom. Number 2: energy -53.95 eV/cell, volume 25.6 Å³/atom. Number 3: energy -15.78 eV/cell, volume 36.6 Å³/atom. Number 4: energy -105.50 eV/cell, volume 14.8 Å³/atom. Number 5: energy -37.76 eV/cell, volume 14.6 Å³/atom. Number 6: energy -44.55 eV/cell, volume 15.3 Å³/atom.